[1]
CaHo2Tl | the Alexandria database | PBE-GGA | optimized geometry; energy of formation from the pure elements = 0.085 eV/atom; magnetization = 0.000 μB per formula unit
1.0
1.792 1.035 11.812
-1.792 1.035 11.812
0.000 -2.070 11.812
Ca Ho Tl
1 2 1
Cartesian
0.000 0.000 0.000
0.000 0.000 3.409
0.000 0.000 32.026
0.000 0.000 17.718



[2]
MgSiSn2As4 | the Alexandria database | PBE-GGA | optimized geometry; magnetization = 0.000 μB per formula unit; formation energy (no corrections) = -0.73 eV/f.u.
1.0
0.000 5.130 4.786
4.162 0.000 4.786
4.162 5.130 0.000
Mg Si Sn As
1 1 2 4
Cartesian
0.000 0.000 0.000
4.162 5.130 4.579
2.081 2.565 2.345
6.243 7.695 7.131
6.115 5.130 3.228
4.162 2.826 5.409
2.209 5.130 3.228
4.162 7.434 5.409



[3]
NbNiRh2Br | the Alexandria database | PBE-GGA | optimized geometry; magnetization = 1.898 μB per formula unit; formation energy (no corrections) = 5.26 eV/f.u.
1.0
4.619 0.000 0.000
0.000 4.619 0.000
0.000 0.000 4.263
Nb Ni Rh Br
1 1 2 1
Cartesian
0.000 0.000 0.000
2.309 2.309 0.000
0.000 2.309 2.131
2.309 0.000 2.131
2.309 2.309 2.131



[4]
Ca2VSiSb | the Alexandria database | PBE-GGA | optimized geometry; magnetization = 3.967 μB per formula unit; formation energy (no corrections) = 1.72 eV/f.u.
1.0
5.602 0.000 0.000
0.000 5.602 0.000
0.000 0.000 4.689
Ca V Si Sb
2 1 1 1
Cartesian
0.000 2.801 0.000
2.801 0.000 0.000
0.000 0.000 0.000
0.000 0.000 2.345
2.801 2.801 2.345



[5]
Ca2HgBr | the Alexandria database | PBE-GGA | optimized geometry; magnetization = 0.000 μB per formula unit; formation energy (no corrections) = -2.93 eV/f.u.
1.0
-2.203 2.203 6.452
2.203 -2.203 6.452
2.203 2.203 -6.452
Ca Hg Br
2 1 1
Cartesian
0.000 0.000 0.000
0.000 2.203 3.226
2.203 0.000 3.226
0.000 0.000 6.452



[6]
LaNd5Er | the Alexandria database | PBE-GGA | optimized geometry; energy of formation from the pure elements = 0.151 eV/atom; magnetization = 0.000 μB per formula unit
1.0
5.440 -3.382 0.000
5.440 3.382 0.000
-0.945 0.000 13.487
La Nd Er
2 10 2
Cartesian
4.732 1.816 10.116
5.204 -1.816 3.372
5.204 1.775 3.372
2.129 0.008 8.896
2.601 -0.008 2.153
2.761 0.008 12.443
3.233 -0.008 5.699
6.702 0.008 7.789
7.175 -0.008 1.045
7.334 0.008 11.335
7.806 -0.008 4.591
4.732 -1.775 10.116
0.000 0.000 0.000
-0.472 0.000 6.744



[7]
Mn2CdIr | the Alexandria database | PBE-GGA | optimized geometry; energy of formation from the pure elements = 0.332 eV/atom; magnetization = 6.971 μB per formula unit
1.0
1.482 -2.342 0.000
1.482 2.342 0.000
0.000 0.000 9.080
Mn Cd Ir
2 1 1
Cartesian
0.000 0.000 0.000
1.482 0.000 2.131
0.000 0.000 4.562
1.482 0.000 7.040



[8]
ZrTi2MnHg | the Alexandria database | PBE-GGA | optimized geometry; energy of formation from the pure elements = 1.182 eV/atom; magnetization = 1.469 μB per formula unit
1.0
4.901 0.000 0.000
0.000 4.901 0.000
0.000 0.000 4.656
Zr Ti Mn Hg
1 2 1 1
Cartesian
0.000 0.000 0.000
0.000 2.451 0.000
2.451 0.000 0.000
0.000 0.000 2.328
2.451 2.451 2.328



Question: Which formula does entry 6 have?
Answer: LaNd5Er



Question: What is the magnetization in the seventh record?
Answer: 6.971 μB per formula unit